Record 1
Gd3Mg3Cd2 after structural relaxation, computed with PBE.

Output
As for the raw total energy: -2.63 eV per atom. Its offset from the most stable computed form is 112.0 meV per atom. The total magnetization is 0.00 μB per atom. The volume comes out at 25.886 A^3/atom.

Cell and atoms, written as CIF:
```
data_Gd3Mg3Cd2
_symmetry_space_group_name_H-M 'A m m 2'
_symmetry_Int_Tables_number 38
_cell_length_a 5.316
_cell_length_b 6.876
_cell_length_c 11.330
_cell_angle_alpha 90.00
_cell_angle_beta 90.00
_cell_angle_gamma 90.00
loop_
_symmetry_equiv_pos_as_xyz
'x,y,z'
'-x,-y,z'
'-x,y,z'
'x,-y,z'
'x,y+1/2,z+1/2'
'-x,-y+1/2,z+1/2'
'-x,y+1/2,z+1/2'
'x,-y+1/2,z+1/2'
loop_
_atom_site_label
_atom_site_fract_x
_atom_site_fract_y
_atom_site_fract_z
_atom_site_occupancy
Gd1 0.000 0.000 0.000 1
Gd2 0.500 0.239 0.584 1
Mg1 0.000 0.246 0.256 1
Mg2 0.500 0.000 0.331 1
Cd1 0.000 0.000 0.505 1
Cd2 0.500 0.000 0.837 1
```

Record 2
Gd3Mg3Cd2 after structural relaxation, computed with PBE.

Output
As for the raw total energy: -2.60 eV per atom. Its offset from the most stable computed form is 134.6 meV per atom. The total magnetization is 0.00 μB per atom. The volume comes out at 26.118 A^3/atom.

Cell and atoms, written as CIF:
```
data_Gd3Mg3Cd2
_symmetry_space_group_name_H-M 'P -6 m 2'
_symmetry_Int_Tables_number 187
_symmetry_space_group_name_Hall 'P -6 2'
_cell_length_a 6.7796
_cell_length_b 6.7796
_cell_length_c 5.2493
_cell_angle_alpha 90.00
_cell_angle_beta 90.00
_cell_angle_gamma 120.00
loop_
_atom_site_label
_atom_site_fract_x
_atom_site_fract_y
_atom_site_fract_z
_atom_site_occupancy
Gd1 0.1711 0.3421 0.0000 1
Mg1 0.3504 0.1752 0.5000 1
Cd1 0.3333 0.6667 0.5000 1
Cd2 0.6667 0.3333 0.0000 1
```